Below is an optimized crystal structure of PrHfNbN3, with properties calculated at the PBE level.

Structure (CIF):
```
data_PrHfNbN3
_space_group_name_H-M_alt 'P 1 21/m 1'
_space_group_IT_number 11
_space_group_name_Hall '-P 2yb'
_cell_length_a 6.879
_cell_length_b 3.246
_cell_length_c 8.594
_cell_angle_alpha 90.00
_cell_angle_beta 97.17
_cell_angle_gamma 90.00
loop_
_atom_site_label
_atom_site_fract_x
_atom_site_fract_y
_atom_site_fract_z
Pr1 0.156 0.250 0.195
Hf1 0.355 0.750 0.879
Nb1 0.147 0.250 0.584
N1 0.141 0.250 0.855
N2 0.164 0.750 0.428
N3 0.422 0.750 0.123
```

Its formation energy without anion corrections is -1.17 eV/atom. For the volume, the calculation gives 95.2 Å³/f.u. As for the crystal system: monoclinic.